Entry 1:
A plane-wave DFT calculation with GGA-PBEsol was carried out for an optimized crystal structure of TaCdW.

The structure in POSCAR format:
```
TaCdW
1.0
0.000 3.157 3.157
3.157 0.000 3.157
3.157 3.157 0.000
Ta Cd W
1 1 1
Direct
0.000 0.000 0.000
0.750 0.750 0.750
0.250 0.250 0.250
```

Computed properties:
- Size of the total moment: 0.005 μB/cell
- Raw total energy: -23.41 eV/cell
- E above lowest polymorph: 945 meV/atom
- Calculated formation energy: 1.381 eV per atom


Entry 2:
A plane-wave DFT calculation with GGA-PBEsol was carried out for an optimized crystal structure of TaCd2W.

The structure in POSCAR format:
```
TaCd2W
1.0
2.808 0.000 0.000
0.000 4.563 0.000
-0.683 0.000 5.571
Ta Cd W
1 2 1
Direct
0.000 0.000 0.000
0.397 0.000 0.485
0.403 0.500 0.751
0.787 0.500 0.239
```

Computed properties:
- Size of the total moment: 0.000 μB/cell
- Raw total energy: -27.13 eV/cell
- E above lowest polymorph: 0 meV/atom
- Calculated formation energy: 0.407 eV per atom


Question: Which of these has the lowest E above lowest polymorph?
Answer: TaCd2W